The following is a PBE calculation of a geometry-optimized CeSm2Tl2 structure, from Alexandria.

Lattice parameters (Å, degrees): 5.2093 5.2093 12.7886 90.00 90.00 120.00
Space group P6_3/mmc (No. 194)
One atom of each set of equivalent atoms:
Ce  0.0000  0.0000  0.2500
Sm  0.0000  0.0000  0.0000
Sm  0.3333  0.6667  0.2500
Tl  0.3333  0.6667  0.6241

Properties
D(E_F)   13.0 states/eV/cell
Formation energy   -0.19 eV/f.u.


The following is a PBE calculation of a geometry-optimized Ce5SmTl6 structure, from Alexandria.

Lattice parameters (Å, degrees): 4.963 9.253 14.914 90.00 90.00 90.00
Space group Immm (No. 71)
One atom of each set of equivalent atoms:
Ce  0.000  0.000  0.000
Ce  0.000  0.000  0.326
Ce  0.000  0.500  0.335
Sm  0.000  0.500  0.000
Tl  0.000  0.246  0.500
Tl  0.000  0.252  0.165

Properties
D(E_F)   67.1 states/eV/cell
Formation energy   -3.15 eV/f.u.


The following is a PBE calculation of a geometry-optimized CeSm2Tl2 structure, from Alexandria.

Lattice parameters (Å, degrees): 5.3839 5.3839 6.5821 90.00 90.00 120.00
Space group P-3m1 (No. 164)
One atom of each set of equivalent atoms:
Ce  0.0000  0.0000  0.0000
Sm  0.3333  0.6667  0.6673
Tl  0.3333  0.6667  0.1826

Properties
D(E_F)   12.4 states/eV/cell
Formation energy   -0.44 eV/f.u.


The following is a PBE calculation of a geometry-optimized CeSmTlZn structure, from Alexandria.

Lattice parameters (Å, degrees): 7.566 7.566 7.566 90.00 90.00 90.00
Space group F-43m (No. 216)
One atom of each set of equivalent atoms:
Ce  0.000  0.000  0.000
Sm  0.000  0.000  0.500
Tl  0.250  0.250  0.750
Zn  0.250  0.250  0.250

Properties
D(E_F)   41.3 states/eV/cell
Formation energy   -0.95 eV/f.u.